No. 1
# SmV2PbO8, relaxed, DFT GGA+U
data_SmV2PbO8
_chemical_formula_sum 'Sm1 V2 Pb1 O8'
_space_group_name_H-M_alt 'P -3 m 1'
_space_group_IT_number 164
_space_group_name_Hall '-P 3 2"'
_cell_length_a 5.9055
_cell_length_b 5.9055
_cell_length_c 6.7934
_cell_angle_alpha 90.00
_cell_angle_beta 90.00
_cell_angle_gamma 120.00
loop_
_atom_site_label
_atom_site_type_symbol
_atom_site_fract_x
_atom_site_fract_y
_atom_site_fract_z
Sm1 Sm 0.0000 0.0000 0.0000
V1 V 0.3333 0.6667 0.3152
Pb1 Pb 0.0000 0.0000 0.5000
O1 O 0.1666 0.3332 0.2358
O2 O 0.3333 0.6667 0.5570
# Uncorrected energy   -7.2283 eV/atom
# Total magnetization   0.00 μB/cell

***

No. 2
# Sm2PbWO8, relaxed, DFT GGA+U
data_Sm2PbWO8
_chemical_formula_sum 'Sm4 Pb2 W2 O16'
_space_group_name_H-M_alt 'C 1 2/m 1'
_space_group_IT_number 12
_cell_length_a 7.016
_cell_length_b 7.336
_cell_length_c 6.967
_cell_angle_alpha 90.00
_cell_angle_beta 90.36
_cell_angle_gamma 90.00
loop_
_space_group_symop_operation_xyz
'x,y,z'
'-x,-y,-z'
'-x,y,-z'
'x,-y,z'
'x+1/2,y+1/2,z'
'-x+1/2,-y+1/2,-z'
'-x+1/2,y+1/2,-z'
'x+1/2,-y+1/2,z'
loop_
_atom_site_label
_atom_site_type_symbol
_atom_site_fract_x
_atom_site_fract_y
_atom_site_fract_z
Sm1 Sm 0.011 0.000 0.258
Pb1 Pb 0.000 0.500 0.000
W1 W 0.000 0.500 0.500
O1 O 0.008 0.320 0.712
O2 O 0.208 0.000 0.993
O3 O 0.223 0.000 0.510
# Uncorrected energy   -7.3008 eV/atom
# Total magnetization   0.00 μB/cell

***

No. 3
# SmPb2WO6, relaxed, DFT GGA+U
data_SmPb2WO6
_chemical_formula_sum 'Sm2 Pb4 W2 O12'
_space_group_name_H-M_alt 'P 1 21/c 1'
_space_group_IT_number 14
_cell_length_a 5.798
_cell_length_b 6.157
_cell_length_c 10.327
_cell_angle_alpha 90.00
_cell_angle_beta 123.43
_cell_angle_gamma 90.00
loop_
_space_group_symop_operation_xyz
'x,y,z'
'-x,-y,-z'
'-x,y+1/2,-z+1/2'
'x,-y+1/2,z+1/2'
loop_
_atom_site_label
_atom_site_type_symbol
_atom_site_fract_x
_atom_site_fract_y
_atom_site_fract_z
Sm1 Sm 0.000 0.000 0.000
Pb1 Pb 0.238 0.046 0.729
W1 W 0.500 0.000 0.500
O1 O 0.180 0.175 0.481
O2 O 0.284 0.736 0.464
O3 O 0.339 0.032 0.265
# Uncorrected energy   -6.9469 eV/atom
# Total magnetization   2.00 μB/cell